Record 1
The following is a PBE calculation of a geometry-optimized UPaReMo structure, from the Alexandria database.

Values from the calculation:
Space group: F-43m
E_tot in eV per atom: -10.879
DFT formation energy in meV/atom: 137

Lattice parameters (Å, degrees): 4.7393 4.7393 4.7393 60.00 60.00 60.00
Last column: nearest neighbours and their distance in Å.
Element x y z (fractional)
U 0.0000 0.0000 0.0000  4 Mo 2.90, 4 Pa 2.90
Pa 0.7500 0.7500 0.7500  4 Re 2.90, 4 U 2.90
Re 0.5000 0.5000 0.5000  4 Mo 2.90, 4 Pa 2.90
Mo 0.2500 0.2500 0.2500  4 Re 2.90, 4 U 2.90

***

Record 2
The following is a PBE calculation of a geometry-optimized Nd2TlIrC structure, from the Alexandria database.

Values from the calculation:
Space group: P4/mmm
E_tot in eV per atom: -6.389
DFT formation energy in meV/atom: -391

Lattice parameters (Å, degrees): 5.3718 5.3718 3.9141 90.00 90.00 90.00
Last column: nearest neighbours and their distance in Å.
Element x y z (fractional)
Nd 0.0000 0.5000 0.0000  2 C 2.69
Nd 0.5000 0.0000 0.0000  2 C 2.69
Tl 0.0000 0.0000 0.5000  8 Nd 3.32
Ir 0.5000 0.5000 0.5000  2 C 1.96
C 0.5000 0.5000 0.0000  2 Ir 1.96

***

Record 3
The following is a PBE calculation of a geometry-optimized PuGaSiRh3 structure, from the Alexandria database.

Values from the calculation:
Raw formation energy in eV per atom: -0.476
Space group: Cmcm
E_tot in eV per atom: -7.949

Lattice parameters (Å, degrees): 7.9693 7.9693 5.6370 90.00 90.00 138.83
Last column: nearest neighbours and their distance in Å.
Element x y z (fractional)
Pu 0.2355 0.7645 0.7500  4 Rh 2.80-2.85
Pu 0.7645 0.2355 0.2500  4 Rh 2.80-2.85
Ga 0.1007 0.8993 0.2500  5 Rh 2.44-2.48
Ga 0.8993 0.1007 0.7500  5 Rh 2.44-2.48
Si 0.4202 0.5798 0.2500  5 Rh 2.32-2.33
Si 0.5798 0.4202 0.7500  5 Rh 2.32-2.33
Rh 0.2472 0.2472 0.0000  2 Si 2.33, 2 Ga 2.48
Rh 0.2472 0.2472 0.5000  2 Si 2.33, 2 Ga 2.48
Rh 0.2644 0.7356 0.2500  1 Si 2.32, 1 Ga 2.44
Rh 0.7356 0.2644 0.7500  1 Si 2.32, 1 Ga 2.44
Rh 0.7528 0.7528 0.0000  2 Si 2.33, 2 Ga 2.48
Rh 0.7528 0.7528 0.5000  2 Si 2.33, 2 Ga 2.48

***

Number 1: calculated density 16.573 g/cm³. Number 2: calculated density 10.248 g/cm³. Number 3: calculated density 9.168 g/cm³.